1.
## TmMgTa (PBE)

Data for an optimized crystal structure of TmMgTa.

Lattice parameters (Å, degrees): 4.894 4.894 4.894 60.00 60.00 60.00
Fractional positions:
1 Mg 0.250 0.250 0.250
2 Ta 0.750 0.750 0.750
3 Tm 0.000 0.000 0.000

Output
The space group is F-43m (216). The value obtained for the energy above the lowest structure with this stoichiometry is 339 meV per atom. As for the total energy: -4.55 eV per atom.

2.
## TmMgTa (PBE)

Data for an optimized crystal structure of TmMgTa.

Lattice parameters (Å, degrees): 4.745 4.745 4.745 60.00 60.00 60.00
Fractional positions:
1 Mg 0.000 0.000 0.000
2 Ta 0.250 0.250 0.250
3 Tm 0.750 0.750 0.750

Output
The space group is F-43m (216). The value obtained for the energy above the lowest structure with this stoichiometry is 0 meV per atom. As for the total energy: -4.89 eV per atom.

3.
## MgZrTa2 (PBE)

Data for an optimized crystal structure of MgZrTa2.

Lattice parameters (Å, degrees): 4.793 4.793 4.793 60.00 60.00 60.00
Fractional positions:
1 Mg 0.750 0.750 0.750
2 Ta 0.000 0.000 0.000
3 Ta 0.250 0.250 0.250
4 Zr 0.500 0.500 0.500

Output
The space group is F-43m (216). As for the total energy: -8.22 eV per atom.

4.
## MgZr3Ta (PBE)

Data for an optimized crystal structure of MgZr3Ta.

Lattice parameters (Å, degrees): 6.920 6.920 6.920 129.89 108.49 92.38
Fractional positions:
1 Mg 0.000 0.000 0.000
2 Mg 0.500 0.000 0.500
3 Ta 0.727 0.477 0.250
4 Ta 0.273 0.523 0.750
5 Zr 0.176 0.500 0.176
6 Zr 0.442 0.192 0.250
7 Zr 0.824 0.000 0.324
8 Zr 0.176 0.000 0.676
9 Zr 0.558 0.808 0.750
10 Zr 0.824 0.500 0.824

Output
The space group is Imma (74). As for the total energy: -7.12 eV per atom.

5.
## TbMg2 (PBE)

Data for an optimized crystal structure of TbMg2.

Lattice parameters (Å, degrees): 6.216 6.216 5.822 90.00 90.00 90.00
Each line ends with the local moment (μB).
Fractional positions:
1 Mg 0.342 0.342 0.000  0.00
2 Mg 0.658 0.658 0.000  0.00
3 Mg 0.842 0.158 0.500  0.01
4 Mg 0.158 0.842 0.500  0.01
5 Tb 0.000 0.000 0.000  0.12
6 Tb 0.500 0.500 0.500  0.12

Output
The space group is P4_2/mnm (136). As for the total energy: -1.76 eV per atom.

6.
## Tb2Mg (PBE)

Data for an optimized crystal structure of Tb2Mg.

Lattice parameters (Å, degrees): 3.496 3.496 16.818 90.00 90.00 120.00
Each line ends with the local moment (μB).
Fractional positions:
1 Mg 0.000 0.000 0.674  0.00
2 Mg 0.667 0.333 0.826  0.00
3 Tb 0.667 0.333 0.163  0.12
4 Tb 0.000 0.000 0.337  0.12
5 Tb 0.667 0.333 0.508  0.05
6 Tb 0.000 0.000 0.992  0.05

Output
The space group is P-3m1 (164). The value obtained for the energy above the lowest structure with this stoichiometry is 85 meV per atom. As for the total energy: -3.56 eV per atom.

7.
## TbMg2 (PBE)

Data for an optimized crystal structure of TbMg2.

Lattice parameters (Å, degrees): 5.939 9.734 5.426 90.00 90.00 90.00
Fractional positions:
1 Mg 0.510 0.165 0.000
2 Mg 0.010 0.335 0.000
3 Mg 0.010 0.665 0.000
4 Mg 0.510 0.835 0.000
5 Mg 0.824 0.165 0.500
6 Mg 0.324 0.335 0.500
7 Mg 0.324 0.665 0.500
8 Mg 0.824 0.835 0.500
9 Tb 0.996 0.000 0.000
10 Tb 0.496 0.500 0.000
11 Tb 0.337 0.000 0.500
12 Tb 0.837 0.500 0.500

Output
The space group is Cmcm (63). As for the total energy: -2.56 eV per atom.

8.
## Tb2Mg (PBE)

Data for an optimized crystal structure of Tb2Mg.

Lattice parameters (Å, degrees): 9.448 9.448 9.448 60.00 60.00 60.00
Each line ends with the local moment (μB).
Fractional positions:
1 Mg 0.250 0.250 0.250  0.01
2 Mg 0.500 0.500 0.500  0.01
3 Tb 0.375 0.375 0.375  0.08
4 Tb 0.875 0.375 0.375  0.13
5 Tb 0.375 0.875 0.375  0.07
6 Tb 0.375 0.375 0.875  0.07

Output
The space group is Fd-3m (227). The value obtained for the energy above the lowest structure with this stoichiometry is 2104 meV per atom. As for the total energy: -1.54 eV per atom.

9.
## TbMg2 (PBE)

Data for an optimized crystal structure of TbMg2.

Lattice parameters (Å, degrees): 5.582 10.589 5.351 90.00 90.00 90.00
Fractional positions:
1 Mg 0.481 0.178 0.000
2 Mg 0.979 0.333 0.000
3 Mg 0.481 0.488 0.000
4 Mg 0.514 0.833 0.000
5 Mg 0.319 0.333 0.500
6 Mg 0.352 0.678 0.500
7 Mg 0.854 0.833 0.500
8 Mg 0.352 0.988 0.500
9 Tb 0.005 0.671 0.000
10 Tb 0.005 0.996 0.000
11 Tb 0.828 0.171 0.500
12 Tb 0.828 0.496 0.500

Output
The space group is Pmmn (59). As for the total energy: -2.56 eV per atom.

10.
## TbMg2 (PBE)

Data for an optimized crystal structure of TbMg2.

Lattice parameters (Å, degrees): 17.247 3.329 5.461 90.00 90.00 90.00
Fractional positions:
1 Mg 0.002 0.000 0.000
2 Mg 0.663 0.000 0.000
3 Mg 0.163 0.500 0.000
4 Mg 0.502 0.500 0.000
5 Mg 0.443 0.000 0.500
6 Mg 0.781 0.000 0.500
7 Mg 0.281 0.500 0.500
8 Mg 0.943 0.500 0.500
9 Tb 0.329 0.000 0.000
10 Tb 0.829 0.500 0.000
11 Tb 0.115 0.000 0.500
12 Tb 0.615 0.500 0.500

Output
The space group is Cmcm (63). As for the total energy: -2.59 eV per atom.

11.
## Tb3Mg2 (PBE)

Data for an optimized crystal structure of Tb3Mg2.

Lattice parameters (Å, degrees): 9.312 9.312 6.561 135.20 44.80 120.00
Fractional positions:
1 Mg 0.624 0.376 0.127
2 Mg 0.876 0.124 0.373
3 Mg 0.124 0.876 0.627
4 Mg 0.376 0.624 0.873
5 Tb 0.924 0.424 0.250
6 Tb 0.576 0.750 0.250
7 Tb 0.250 0.076 0.250
8 Tb 0.750 0.924 0.750
9 Tb 0.424 0.250 0.750
10 Tb 0.076 0.576 0.750

Output
The space group is R-3c (167). As for the total energy: -3.37 eV per atom.

12.
## Tb3Mg4 (PBE)

Data for an optimized crystal structure of Tb3Mg4.

Lattice parameters (Å, degrees): 9.007 9.007 5.411 90.00 90.00 60.00
Fractional positions:
1 Mg 0.987 0.006 0.000
2 Mg 0.579 0.130 0.000
3 Mg 0.143 0.286 0.000
4 Mg 0.863 0.722 0.000
5 Mg 0.374 0.108 0.500
6 Mg 0.965 0.232 0.500
7 Mg 0.090 0.517 0.500
8 Mg 0.810 0.952 0.500
9 Tb 0.732 0.432 0.000
10 Tb 0.289 0.550 0.000
11 Tb 0.408 0.875 0.000
12 Tb 0.545 0.363 0.500
13 Tb 0.663 0.688 0.500
14 Tb 0.221 0.806 0.500

Output
The space group is P6_3/m (176). As for the total energy: -2.88 eV per atom.

13.
## TbMg2 (PBE)

Data for an optimized crystal structure of TbMg2.

Lattice parameters (Å, degrees): 14.921 4.041 5.192 90.00 90.00 90.00
Fractional positions:
1 Mg 0.313 0.000 0.000
2 Mg 0.965 0.000 0.000
3 Mg 0.465 0.500 0.000
4 Mg 0.813 0.500 0.000
5 Mg 0.132 0.000 0.500
6 Mg 0.479 0.000 0.500
7 Mg 0.632 0.500 0.500
8 Mg 0.980 0.500 0.500
9 Tb 0.639 0.000 0.000
10 Tb 0.139 0.500 0.000
11 Tb 0.806 0.000 0.500
12 Tb 0.306 0.500 0.500

Output
The space group is Cmcm (63). As for the total energy: -2.61 eV per atom.

14.
## Tb3Mg4 (PBE)

Data for an optimized crystal structure of Tb3Mg4.

Lattice parameters (Å, degrees): 9.094 9.094 5.323 90.00 90.00 60.00
Fractional positions:
1 Mg 0.994 0.005 0.000
2 Mg 0.577 0.143 0.000
3 Mg 0.715 0.423 0.000
4 Mg 0.429 0.857 0.000
5 Mg 0.947 0.238 0.500
6 Mg 0.530 0.376 0.500
7 Mg 0.095 0.524 0.500
8 Mg 0.809 0.958 0.500
9 Tb 0.129 0.288 0.000
10 Tb 0.297 0.558 0.000
11 Tb 0.860 0.725 0.000
12 Tb 0.395 0.092 0.500
13 Tb 0.664 0.656 0.500
14 Tb 0.227 0.823 0.500

Output
The space group is P6_3/m (176). As for the total energy: -2.88 eV per atom.

15.
## Tb2Mg (PBE)

Data for an optimized crystal structure of Tb2Mg.

Lattice parameters (Å, degrees): 3.489 3.489 16.934 90.00 90.00 120.00
Fractional positions:
1 Mg 0.667 0.333 0.502
2 Mg 0.667 0.333 0.831
3 Tb 0.667 0.333 0.167
4 Tb 0.000 0.000 0.338
5 Tb 0.000 0.000 0.667
6 Tb 0.000 0.000 0.996

Output
The space group is P-6m2 (187). The value obtained for the energy above the lowest structure with this stoichiometry is 100 meV per atom. As for the total energy: -3.54 eV per atom.

16.
## TbMgTlTe3 (PBE)

Data for an optimized crystal structure of TbMgTlTe3.

Lattice parameters (Å, degrees): 11.803 4.472 15.447 90.00 90.00 90.00
Fractional positions:
1 Mg 0.262 0.750 0.215
2 Mg 0.762 0.750 0.285
3 Mg 0.238 0.250 0.715
4 Mg 0.738 0.250 0.785
5 Tb 0.014 0.250 0.246
6 Tb 0.514 0.250 0.254
7 Tb 0.486 0.750 0.746
8 Tb 0.986 0.750 0.754
9 Te 0.070 0.750 0.112
10 Te 0.460 0.750 0.119
11 Te 0.762 0.250 0.174
12 Te 0.262 0.250 0.326
13 Te 0.960 0.750 0.381
14 Te 0.570 0.750 0.388
15 Te 0.430 0.250 0.612
16 Te 0.040 0.250 0.619
17 Te 0.738 0.750 0.674
18 Te 0.238 0.750 0.826
19 Te 0.540 0.250 0.881
20 Te 0.930 0.250 0.888
21 Tl 0.272 0.250 0.006
22 Tl 0.772 0.250 0.494
23 Tl 0.228 0.750 0.506
24 Tl 0.728 0.750 0.994

Output
The space group is Pnma (62). As for the total energy: -3.96 eV per atom.

17.
## TbMgTlTe3 (PBE)

Data for an optimized crystal structure of TbMgTlTe3.

Lattice parameters (Å, degrees): 8.038 8.038 11.777 90.00 90.00 147.71
Fractional positions:
1 Mg 0.536 0.464 0.250
2 Mg 0.464 0.536 0.750
3 Tb 0.000 0.000 0.000
4 Tb 0.000 0.000 0.500
5 Te 0.635 0.365 0.054
6 Te 0.925 0.075 0.250
7 Te 0.635 0.365 0.446
8 Te 0.365 0.635 0.554
9 Te 0.075 0.925 0.750
10 Te 0.365 0.635 0.946
11 Tl 0.244 0.756 0.250
12 Tl 0.756 0.244 0.750

Output
The space group is Cmcm (63). As for the total energy: -3.95 eV per atom.

18.
## TbThMg (PBE)

Data for an optimized crystal structure of TbThMg.

Lattice parameters (Å, degrees): 5.223 5.223 5.223 60.00 60.00 60.00
Fractional positions:
1 Mg 0.000 0.000 0.000
2 Tb 0.250 0.250 0.250
3 Th 0.750 0.750 0.750

Output
The space group is F-43m (216). As for the total energy: -3.99 eV per atom.

19.
## Tb5MgTl3 (PBE)

Data for an optimized crystal structure of Tb5MgTl3.

Lattice parameters (Å, degrees): 9.331 9.331 6.650 90.00 90.00 120.00
Each line ends with the local moment (μB).
Fractional positions:
1 Mg 0.000 0.000 0.000  0.00
2 Mg 0.000 0.000 0.500  0.00
3 Tb 0.667 0.333 0.000  0.06
4 Tb 0.333 0.667 0.000  0.06
5 Tb 0.300 0.000 0.250  0.03
6 Tb 0.000 0.300 0.250  0.02
7 Tb 0.700 0.700 0.250  0.03
8 Tb 0.667 0.333 0.500  0.06
9 Tb 0.333 0.667 0.500  0.06
10 Tb 0.700 0.000 0.750  0.03
11 Tb 0.300 0.300 0.750  0.03
12 Tb 0.000 0.700 0.750  0.02
13 Tl 0.638 0.000 0.250  0.00
14 Tl 0.362 0.362 0.250  0.00
15 Tl 0.000 0.638 0.250  0.00
16 Tl 0.362 0.000 0.750  0.00
17 Tl 0.000 0.362 0.750  0.00
18 Tl 0.638 0.638 0.750  0.00

Output
The space group is P6_3/mcm (193). As for the total energy: -3.83 eV per atom.

20.
## TbTmMg2 (PBE)

Data for an optimized crystal structure of TbTmMg2.

Lattice parameters (Å, degrees): 3.460 3.460 21.622 90.00 90.00 120.00
Fractional positions:
1 Mg 0.667 0.333 0.127
2 Mg 0.667 0.333 0.373
3 Mg 0.333 0.667 0.627
4 Mg 0.333 0.667 0.873
5 Tb 0.000 0.000 0.000
6 Tb 0.000 0.000 0.500
7 Tm 0.333 0.667 0.250
8 Tm 0.667 0.333 0.750

Output
The space group is P6_3/mmc (194). As for the total energy: -3.01 eV per atom.

21.
## TbYMg (PBE)

Data for an optimized crystal structure of TbYMg.

Lattice parameters (Å, degrees): 3.710 5.458 8.777 90.00 102.20 90.00
Fractional positions:
1 Mg 0.934 0.750 0.366
2 Mg 0.066 0.250 0.634
3 Tb 0.273 0.750 0.045
4 Tb 0.727 0.250 0.955
5 Y 0.410 0.250 0.319
6 Y 0.590 0.750 0.681

Output
The space group is P2_1/m (11). The value obtained for the energy above the lowest structure with this stoichiometry is 0 meV per atom. As for the total energy: -4.29 eV per atom.

22.
## TbYMg (PBE)

Data for an optimized crystal structure of TbYMg.

Lattice parameters (Å, degrees): 5.239 5.239 5.239 60.00 60.00 60.00
Fractional positions:
1 Mg 0.000 0.000 0.000
2 Tb 0.250 0.250 0.250
3 Y 0.750 0.750 0.750

Output
The space group is F-43m (216). The value obtained for the energy above the lowest structure with this stoichiometry is 486 meV per atom. As for the total energy: -3.80 eV per atom.

23.
## Tb5MgZn4 (PBE)

Data for an optimized crystal structure of Tb5MgZn4.

Lattice parameters (Å, degrees): 3.581 3.581 18.500 90.00 90.00 90.00
Fractional positions:
1 Mg 0.000 0.000 0.000
2 Tb 0.500 0.500 0.118
3 Tb 0.500 0.500 0.308
4 Tb 0.500 0.500 0.500
5 Tb 0.500 0.500 0.692
6 Tb 0.500 0.500 0.882
7 Zn 0.000 0.000 0.210
8 Zn 0.000 0.000 0.404
9 Zn 0.000 0.000 0.596
10 Zn 0.000 0.000 0.790

Output
The space group is P4/mmm (123). As for the total energy: -3.27 eV per atom.